1.
Density functional theory data (GGA-PBE) for a geometry-optimized TlRe2Pt structure.

The value obtained for the energy above the most stable polymorph in this dataset is 1.414 eV/f.u.

It has space group R-3m (No. 166, hexagonal axes), with a = 2.8809 Å, b = 2.8809 Å, c = 28.0779 Å, α = 90.00°, β = 90.00° and γ = 120.00°. The distinct sites, in fractional coordinates, are Tl at (0.0000, 0.0000, 0.0000), Re at (0.0000, 0.0000, 0.2445) and Pt at (0.0000, 0.0000, 0.5000).



2.
Density functional theory data (GGA-PBE) for a geometry-optimized TlRePt2 structure.

The value obtained for the energy above the most stable polymorph in this dataset is 0.000 eV/f.u.

It has space group P2/m (No. 10), with a = 2.854 Å, b = 2.861 Å, c = 8.863 Å, α = 90.00°, β = 97.75° and γ = 90.00°. The distinct sites, in fractional coordinates, are Tl at (0.000, 0.000, 0.000), Re at (0.500, 0.000, 0.500) and Pt at (0.088, 0.500, 0.709).



3.
Density functional theory data (GGA-PBE) for a geometry-optimized TlRe2Pt structure.

The value obtained for the energy above the most stable polymorph in this dataset is 1.657 eV/f.u.

It has space group I4/mmm (No. 139), with a = 3.973 Å, b = 3.973 Å, c = 8.427 Å, α = 90.00°, β = 90.00° and γ = 90.00°. The distinct sites, in fractional coordinates, are Tl at (0.000, 0.000, 0.000), Re at (0.000, 0.500, 0.250) and Pt at (0.000, 0.000, 0.500).



4.
Density functional theory data (GGA-PBE) for a geometry-optimized Tl2RePt structure.

The value obtained for the energy above the most stable polymorph in this dataset is 1.641 eV/f.u.

It has space group Fm-3m (No. 225), with a = 6.725 Å, b = 6.725 Å, c = 6.725 Å, α = 90.00°, β = 90.00° and γ = 90.00°. The distinct sites, in fractional coordinates, are Tl at (0.250, 0.250, 0.250), Re at (0.000, 0.000, 0.000) and Pt at (0.000, 0.000, 0.500).



5.
Density functional theory data (GGA-PBE) for a geometry-optimized TlRe2Pt structure.

The value obtained for the energy above the most stable polymorph in this dataset is 2.272 eV/f.u.

It has space group Fm-3m (No. 225), with a = 6.434 Å, b = 6.434 Å, c = 6.434 Å, α = 90.00°, β = 90.00° and γ = 90.00°. The distinct sites, in fractional coordinates, are Tl at (0.000, 0.000, 0.000), Re at (0.250, 0.250, 0.250) and Pt at (0.000, 0.000, 0.500).



6.
Density functional theory data (GGA-PBE) for a geometry-optimized TlRe2Pt structure.

The value obtained for the energy above the most stable polymorph in this dataset is 1.311 eV/f.u.

It has space group P2/m (No. 10), with a = 4.868 Å, b = 2.881 Å, c = 5.003 Å, α = 90.00°, β = 108.17° and γ = 90.00°. The distinct sites, in fractional coordinates, are Tl at (0.000, 0.000, 0.000), Re at (0.000, 0.500, 0.500), Re at (0.500, 0.000, 0.500) and Pt at (0.500, 0.500, 0.000).



7.
Density functional theory data (GGA-PBE) for a geometry-optimized TlRePt structure.

The value obtained for the energy above the most stable polymorph in this dataset is 0.183 eV/f.u.

It has space group P3m1 (No. 156), with a = 2.9568 Å, b = 2.9568 Å, c = 7.0586 Å, α = 90.00°, β = 90.00° and γ = 120.00°. The distinct sites, in fractional coordinates, are Tl at (0.0000, 0.0000, 0.0000), Re at (0.3333, 0.6667, 0.6455) and Pt at (0.6667, 0.3333, 0.3540).



8.
Density functional theory data (GGA-PBE) for a geometry-optimized TlRePt2 structure.

The value obtained for the energy above the most stable polymorph in this dataset is 1.101 eV/f.u.

It has space group Imm2 (No. 44), with a = 2.812 Å, b = 4.956 Å, c = 10.033 Å, α = 90.00°, β = 90.00° and γ = 90.00°. The distinct sites, in fractional coordinates, are Tl at (0.000, 0.000, 0.000), Re at (0.000, 0.500, 0.240), Pt at (0.000, 0.000, 0.517) and Pt at (0.000, 0.500, 0.764).



9.
Density functional theory data (GGA-PBE) for a geometry-optimized TlRe2Pt structure.

The value obtained for the energy above the most stable polymorph in this dataset is 2.558 eV/f.u.

It has space group P4/mmm (No. 123), with a = 4.842 Å, b = 4.842 Å, c = 2.877 Å, α = 90.00°, β = 90.00° and γ = 90.00°. The distinct sites, in fractional coordinates, are Tl at (0.000, 0.000, 0.000), Re at (0.000, 0.500, 0.500) and Pt at (0.500, 0.500, 0.000).



10.
Density functional theory data (GGA-PBE) for a geometry-optimized TlRe2Pt structure.

The value obtained for the energy above the most stable polymorph in this dataset is 1.053 eV/f.u.

It has space group Cm (No. 8), with a = 9.328 Å, b = 2.874 Å, c = 5.106 Å, α = 90.00°, β = 98.65° and γ = 90.00°. The distinct sites, in fractional coordinates, are Tl at (0.000, 0.000, 0.000), Re at (0.259, 0.500, 0.312), Re at (0.499, 0.000, 0.487) and Pt at (0.243, 0.000, 0.763).



11.
Density functional theory data (GGA-PBE) for a geometry-optimized TlRePt2 structure.

The value obtained for the energy above the most stable polymorph in this dataset is 0.573 eV/f.u.

It has space group R-3m (No. 166, hexagonal axes), with a = 2.9150 Å, b = 2.9150 Å, c = 28.3073 Å, α = 90.00°, β = 90.00° and γ = 120.00°. The distinct sites, in fractional coordinates, are Tl at (0.0000, 0.0000, 0.0000), Re at (0.0000, 0.0000, 0.5000) and Pt at (0.0000, 0.0000, 0.2429).



12.
Density functional theory data (GGA-PBE) for a geometry-optimized TlRe4Pt structure.

The value obtained for the energy is -8.9149 eV/atom.

It has space group F-43m (No. 216), with a = 7.439 Å, b = 7.439 Å, c = 7.439 Å, α = 90.00°, β = 90.00° and γ = 90.00°. The distinct sites, in fractional coordinates, are Tl at (0.000, 0.000, 0.000), Re at (0.123, 0.123, 0.377) and Pt at (0.250, 0.250, 0.750).



13.
Density functional theory data (GGA-PBE) for a geometry-optimized TlRe2Pt structure.

The value obtained for the energy above the most stable polymorph in this dataset is 1.471 eV/f.u.

It has space group Immm (No. 71), with a = 2.793 Å, b = 4.725 Å, c = 10.601 Å, α = 90.00°, β = 90.00° and γ = 90.00°. The distinct sites, in fractional coordinates, are Tl at (0.000, 0.000, 0.000), Re at (0.000, 0.500, 0.223) and Pt at (0.000, 0.000, 0.500).



14.
Density functional theory data (GGA-PBE) for a geometry-optimized TlRePt2 structure.

The value obtained for the energy above the most stable polymorph in this dataset is 0.944 eV/f.u.

It has space group Cmmm (No. 65), with a = 5.654 Å, b = 8.418 Å, c = 2.837 Å, α = 90.00°, β = 90.00° and γ = 90.00°. The distinct sites, in fractional coordinates, are Tl at (0.000, 0.000, 0.000), Re at (0.000, 0.500, 0.000) and Pt at (0.250, 0.250, 0.500).



15.
Density functional theory data (GGA-PBE) for a geometry-optimized TlRe2Pt structure.

The value obtained for the energy above the most stable polymorph in this dataset is 1.490 eV/f.u.

It has space group Pmmm (No. 47), with a = 2.839 Å, b = 4.167 Å, c = 5.956 Å, α = 90.00°, β = 90.00° and γ = 90.00°. The distinct sites, in fractional coordinates, are Tl at (0.000, 0.000, 0.000), Re at (0.500, 0.500, 0.300) and Pt at (0.000, 0.000, 0.500).



Number 1: total magnetic moment 0.00 μB per formula unit, theoretical density 19.05 g cm⁻³. Number 2: total magnetic moment 0.00 μB per formula unit, theoretical density 18.08 g cm⁻³. Number 3: total magnetic moment 0.00 μB per formula unit, theoretical density 19.27 g cm⁻³. Number 4: total magnetic moment 0.00 μB per formula unit, theoretical density 17.26 g cm⁻³. Number 5: total magnetic moment 0.00 μB per formula unit, theoretical density 19.24 g cm⁻³. Number 6: total magnetic moment 0.00 μB per formula unit, theoretical density 19.23 g cm⁻³. Number 7: total magnetic moment 0.00 μB per formula unit, theoretical density 18.20 g cm⁻³. Number 8: total magnetic moment 0.86 μB per formula unit, theoretical density 18.54 g cm⁻³. Number 9: total magnetic moment 0.00 μB per formula unit, theoretical density 19.00 g cm⁻³. Number 10: total magnetic moment 0.00 μB per formula unit, theoretical density 18.95 g cm⁻³. Number 11: total magnetic moment 0.00 μB per formula unit, theoretical density 18.67 g cm⁻³. Number 12: total magnetic moment 0.00 μB per formula unit, theoretical density 18.47 g cm⁻³. Number 13: total magnetic moment 0.00 μB per formula unit, theoretical density 18.33 g cm⁻³. Number 14: total magnetic moment 0.00 μB per formula unit, theoretical density 19.21 g cm⁻³. Number 15: total magnetic moment 0.00 μB per formula unit, theoretical density 18.19 g cm⁻³.